ZnIn2Se4, single point on PBEsol structure, DFT meta-GGA SCAN; crystal system = tetragonal; size of the total moment = 0.0 μB/f.u.; symmetry = I-4 (82); total energy = -23.625 eV/atom
1.0
-2.834 2.834 5.744
2.834 -2.834 5.744
2.834 2.834 -5.744
Zn In Se
1 2 4
direct
0.000 0.000 0.000
0.250 0.750 0.500
0.500 0.500 0.000
0.078 0.600 0.943
0.400 0.344 0.478
0.656 0.134 0.057
0.866 0.922 0.522